Computed, not measured: crystalline BWSI2 at its relaxed geometry at the PBE-GGA level of DFT.

The structure in extended XYZ format:
```
5
Lattice="5.672 0.000 0.000 0.000 5.672 0.000 0.000 0.000 4.506" Properties=species:S:1:pos:R:3 pbc="T T T"
B 0.000 0.000 0.000
W 2.836 2.836 2.253
S 2.836 2.836 0.000
I 0.000 2.836 2.253
I 2.836 0.000 2.253
```

Results
Calculated total energy in eV/cell: -20.86
V in A^3/atom: 28.99
Space-group type: P4/mmm, No. 123
Energy relative to the elements, uncorrected in meV/atom: 1200

---

Computed, not measured: crystalline Sm2TiTl3Se6 at its relaxed geometry at the PBE-GGA level of DFT.

The structure in extended XYZ format:
```
12
Lattice="3.572 -6.178 0.000 3.572 6.178 0.000 -2.402 0.000 7.762" Properties=species:S:1:pos:R:3 pbc="T T T"
Sm 3.572 4.137 0.000
Sm 3.572 -4.137 0.000
Ti 3.572 0.000 0.000
Tl -1.201 0.000 3.881
Tl 2.371 2.145 3.881
Tl 2.371 -2.145 3.881
Se 0.082 1.896 6.216
Se 1.361 0.000 1.619
Se 0.082 -1.896 6.216
Se 4.661 1.896 1.546
Se 3.382 0.000 6.143
Se 4.661 -1.896 1.546
```

Results
Calculated total energy in eV/cell: -59.29
V in A^3/atom: 28.55
Space-group type: C2/m, No. 12
Energy relative to the elements, uncorrected in meV/atom: -1163

---

Computed, not measured: crystalline Ba6Na3Sr at its relaxed geometry at the PBE-GGA level of DFT.

The structure in extended XYZ format:
```
20
Lattice="12.624 0.000 0.000 0.000 6.432 0.000 -1.956 0.000 13.841" Properties=species:S:1:pos:R:3 pbc="T T T"
Ba -0.243 1.608 5.523
Ba 1.250 4.824 2.570
Ba 0.893 1.608 13.504
Ba 2.498 4.824 10.792
Ba 3.902 1.608 3.884
Ba 4.299 1.608 8.198
Ba 6.369 4.824 5.643
Ba 6.766 4.824 9.957
Ba 8.170 1.608 3.049
Ba 9.775 4.824 0.337
Ba 9.418 1.608 11.272
Ba 10.911 4.824 8.319
Na -1.213 4.824 12.353
Na 0.450 1.608 9.518
Na 2.287 4.824 6.566
Na 8.381 1.608 7.275
Na 10.218 4.824 4.323
Na 11.881 1.608 1.489
Sr 5.524 4.824 1.278
Sr 5.144 1.608 12.564
```

Results
Calculated formation energy in eV/atom: 0.0230
Calculated total energy in eV/cell: -33.89
V in A^3/atom: 56.20
Space-group type: P2_1/m, No. 11